No. 1
TiPbC3: relaxed, PBEsol.

Values from the calculation:
- D(E_F) (states/eV/cell) = 2.74
- calculated formation energy (eV/atom) = 1.684

```
data_TiPbC3
_chemical_formula_sum 'Ti1 Pb1 C3'
_cell_length_a 4.115
_cell_length_b 4.115
_cell_length_c 4.115
_cell_angle_alpha 90.00
_cell_angle_beta 90.00
_cell_angle_gamma 90.00
_space_group_name_H-M_alt 'P m -3 m'
_space_group_IT_number 221
_space_group_name_Hall '-P 4 2 3'
loop_
_atom_site_label
_atom_site_type_symbol
_atom_site_fract_x
_atom_site_fract_y
_atom_site_fract_z
Ti1 Ti 0.000 0.000 0.000
Pb1 Pb 0.500 0.500 0.500
C1 C 0.000 0.000 0.500
```



No. 2
Y2IrSe: relaxed, PBEsol.

Values from the calculation:
- D(E_F) (states/eV/cell) = 2.59
- formation energy from raw total energies (meV/atom) = -1048

```
data_Y2IrSe
_chemical_formula_sum 'Y2 Ir1 Se1'
_cell_length_a 4.960
_cell_length_b 4.960
_cell_length_c 3.355
_cell_angle_alpha 90.00
_cell_angle_beta 90.00
_cell_angle_gamma 90.00
_space_group_name_H-M_alt 'P 4/m m m'
_space_group_IT_number 123
_space_group_name_Hall '-P 4 2'
loop_
_atom_site_label
_atom_site_type_symbol
_atom_site_fract_x
_atom_site_fract_y
_atom_site_fract_z
Y1 Y 0.000 0.500 0.000
Ir1 Ir 0.000 0.000 0.500
Se1 Se 0.500 0.500 0.500
```



No. 3
KSi2Au2: relaxed, PBEsol.

Values from the calculation:
- D(E_F) (states/eV/cell) = 4.31
- formation energy from raw total energies (meV/atom) = -158

```
data_KSi2Au2
_chemical_formula_sum 'K2 Si4 Au4'
_cell_length_a 4.439
_cell_length_b 4.439
_cell_length_c 9.950
_cell_angle_alpha 90.00
_cell_angle_beta 90.00
_cell_angle_gamma 90.00
_space_group_name_H-M_alt 'I 4/m m m'
_space_group_IT_number 139
_space_group_name_Hall '-I 4 2'
loop_
_atom_site_label
_atom_site_type_symbol
_atom_site_fract_x
_atom_site_fract_y
_atom_site_fract_z
K1 K 0.000 0.000 0.000
Si1 Si 0.000 0.000 0.377
Au1 Au 0.000 0.500 0.250
```



No. 4
VPO5: relaxed, PBEsol.

Values from the calculation:
- D(E_F) (states/eV/cell) = 0.00
- formation energy from raw total energies (meV/atom) = -2250
- polymorph energy (0 for the lowest one) (meV/atom) = 3

```
data_VPO5
_chemical_formula_sum 'V4 P4 O20'
_cell_length_a 7.227
_cell_length_b 7.001
_cell_length_c 7.557
_cell_angle_alpha 90.00
_cell_angle_beta 121.38
_cell_angle_gamma 90.00
_space_group_name_H-M_alt 'P 1 21/c 1'
_space_group_IT_number 14
loop_
_space_group_symop_operation_xyz
'x,y,z'
'-x,-y,-z'
'-x,y+1/2,-z+1/2'
'x,-y+1/2,z+1/2'
loop_
_atom_site_label
_atom_site_type_symbol
_atom_site_fract_x
_atom_site_fract_y
_atom_site_fract_z
V1 V 0.250 0.234 0.043
P1 P 0.249 0.624 0.254
O1 O 0.051 0.745 0.655
O2 O 0.245 0.006 0.585
O3 O 0.250 0.162 0.243
O4 O 0.252 0.503 0.426
O5 O 0.450 0.748 0.849
```